# SrCdF4

Crystalline SrCdF4 at its relaxed geometry (PBE-GGA, OQMD via LeMat-Bulk).

```
SrCdF4
1.0
-2.770 2.770 5.409
2.770 -2.770 5.409
2.770 2.770 -5.409
Cd Sr F
2 2 8
Direct
0.000 0.500 0.500
0.500 0.000 0.500
0.250 0.250 0.000
0.750 0.750 0.000
0.632 0.132 0.001
0.630 0.632 0.500
0.868 0.870 0.500
0.132 0.130 0.500
0.130 0.630 0.999
0.370 0.368 0.500
0.870 0.370 0.001
0.368 0.868 0.999
```

Calculated values
Symmetry = I4/mcm
Theoretical density = 5.5 g/cm³
DFT total energy = -28.2 eV/f.u.

# SrCd2Te2F2

Crystalline SrCd2Te2F2 at its relaxed geometry (PBE-GGA, OQMD via LeMat-Bulk).

```
SrCd2Te2F2
1.0
-0.653 -4.008 0.299
0.537 -0.387 -4.017
9.957 -1.511 1.477
Te F Sr Cd
2 2 1 2
Direct
0.000 0.500 0.766
0.500 0.000 0.234
0.000 0.000 0.500
0.500 0.500 0.500
0.000 0.000 0.000
0.500 0.000 0.630
0.000 0.500 0.370
```

Calculated values
Symmetry = P-4m2
Theoretical density = 6.0 g/cm³
DFT total energy = -22.3 eV/f.u.

# TbTlCdF7

Crystalline TbTlCdF7 at its relaxed geometry (PBE-GGA, OQMD via LeMat-Bulk).

```
TbTlCdF7
1.0
3.432 -5.360 0.000
3.432 5.360 0.000
0.000 0.000 8.065
F Tb Cd Tl
14 2 2 2
Direct
0.317 0.064 0.250
0.936 0.683 0.250
0.239 0.761 0.501
0.499 0.501 0.750
0.940 0.697 0.750
0.060 0.303 0.250
0.303 0.060 0.750
0.064 0.317 0.750
0.501 0.499 0.250
0.683 0.936 0.750
0.761 0.239 0.001
0.761 0.239 0.499
0.697 0.940 0.250
0.239 0.761 0.999
0.303 0.697 0.750
0.697 0.303 0.250
0.306 0.694 0.250
0.694 0.306 0.750
0.000 0.000 0.500
0.000 0.000 0.000
```

Calculated values
Symmetry = Cmcm
Theoretical density = 6.8 g/cm³
DFT total energy = -47.4 eV/f.u.
Magnetization = 0.00 Bohr magnetons per cell

# CdTcF6

Crystalline CdTcF6 at its relaxed geometry (PBE-GGA, OQMD via LeMat-Bulk).

```
CdTcF6
1.0
-2.136 -4.459 -0.477
2.123 -4.002 2.042
-2.453 -2.072 4.526
F Tc Cd
6 1 1
Direct
0.416 0.778 0.764
0.957 0.584 0.236
0.778 0.043 0.764
0.222 0.957 0.236
0.043 0.416 0.764
0.584 0.222 0.236
0.000 0.000 0.000
0.500 0.500 0.500
```

Calculated values
Symmetry = R-3
Theoretical density = 5.3 g/cm³
DFT total energy = -39.3 eV/f.u.
Magnetization = 3.00 Bohr magnetons per cell

# TlCdTeF

Crystalline TlCdTeF at its relaxed geometry (PBE-GGA, OQMD via LeMat-Bulk).

```
TlCdTeF
1.0
7.293 0.000 0.000
0.000 7.311 0.000
0.000 0.000 7.808
Te F Cd Tl
4 4 4 4
Direct
0.086 0.910 0.326
0.414 0.090 0.826
0.586 0.590 0.674
0.914 0.410 0.174
0.944 0.949 0.816
0.056 0.449 0.684
0.556 0.051 0.316
0.444 0.551 0.184
0.576 0.276 0.088
0.424 0.776 0.412
0.076 0.224 0.912
0.924 0.724 0.588
0.775 0.192 0.553
0.275 0.308 0.447
0.225 0.692 0.947
0.725 0.808 0.053
```

Calculated values
Symmetry = P2_12_12_1
Theoretical density = 7.4 g/cm³
DFT total energy = -12.2 eV/f.u.
ΔE to the lowest computed polymorph = 0.18 eV per formula unit

# TlCdTeF

Crystalline TlCdTeF at its relaxed geometry (PBE-GGA, OQMD via LeMat-Bulk).

```
TlCdTeF
1.0
3.239 -3.241 0.000
3.239 3.241 0.000
0.000 0.000 9.635
Tl F Cd Te
2 2 2 2
Direct
0.250 0.750 0.874
0.750 0.250 0.126
0.250 0.250 0.000
0.750 0.750 0.000
0.750 0.750 0.500
0.250 0.250 0.500
0.750 0.250 0.685
0.250 0.750 0.315
```

Calculated values
Symmetry = P4/nmm
Theoretical density = 7.6 g/cm³
DFT total energy = -12.3 eV/f.u.
ΔE to the lowest computed polymorph = 0.09 eV per formula unit

# TlCdTeF

Crystalline TlCdTeF at its relaxed geometry (PBE-GGA, OQMD via LeMat-Bulk).

```
TlCdTeF
1.0
3.239 -9.701 6.817
6.477 -6.712 8.005
2.410 -6.614 10.076
Tl Cd F Te
2 2 2 2
Direct
0.626 0.626 0.626
0.374 0.374 0.374
0.195 0.195 0.195
0.805 0.805 0.805
0.305 0.305 0.305
0.695 0.695 0.695
0.111 0.111 0.111
0.889 0.889 0.889
```

Calculated values
Symmetry = R-3m
Theoretical density = 7.1 g/cm³
DFT total energy = -12.4 eV/f.u.
ΔE to the lowest computed polymorph = 0.01 eV per formula unit

# TlCdTeF

Crystalline TlCdTeF at its relaxed geometry (PBE-GGA, OQMD via LeMat-Bulk).

```
TlCdTeF
1.0
4.191 0.000 0.000
0.000 4.191 0.000
0.000 0.000 13.267
F Cd Tl Te
2 2 2 2
Direct
0.500 0.500 0.000
0.000 0.000 0.000
0.500 0.000 0.588
0.000 0.500 0.412
0.000 0.500 0.894
0.500 0.000 0.106
0.500 0.000 0.370
0.000 0.500 0.630
```

Calculated values
Symmetry = P4/nmm
Theoretical density = 6.6 g/cm³
DFT total energy = -12.2 eV/f.u.
ΔE to the lowest computed polymorph = 0.24 eV per formula unit

# TlCdTeF

Crystalline TlCdTeF at its relaxed geometry (PBE-GGA, OQMD via LeMat-Bulk).

```
TlCdTeF
1.0
2.147 -7.228 0.000
2.147 7.228 0.000
0.000 0.000 6.866
Te Tl F Cd
2 2 2 2
Direct
0.417 0.583 0.250
0.583 0.417 0.750
0.202 0.798 0.250
0.798 0.202 0.750
0.629 0.371 0.250
0.371 0.629 0.750
0.000 0.000 0.500
0.000 0.000 0.000
```

Calculated values
Symmetry = Cmcm
Theoretical density = 7.2 g/cm³
DFT total energy = -11.1 eV/f.u.
ΔE to the lowest computed polymorph = 1.34 eV per formula unit

# TlCdTeF

Crystalline TlCdTeF at its relaxed geometry (PBE-GGA, OQMD via LeMat-Bulk).

```
TlCdTeF
1.0
10.479 0.000 0.000
0.000 20.091 0.000
0.000 0.000 4.104
Tl F Cd Te
8 8 8 8
Direct
0.255 0.136 0.500
0.934 0.720 0.500
0.755 0.364 0.500
0.434 0.780 0.500
0.566 0.220 0.500
0.745 0.864 0.500
0.245 0.636 0.500
0.066 0.280 0.500
0.728 0.239 0.000
0.259 0.563 0.000
0.228 0.261 0.000
0.241 0.063 0.000
0.272 0.761 0.000
0.759 0.937 0.000
0.741 0.437 0.000
0.772 0.739 0.000
0.582 0.689 0.000
0.749 0.548 0.000
0.918 0.189 0.000
0.249 0.952 0.000
0.418 0.311 0.000
0.082 0.811 0.000
0.751 0.048 0.000
0.251 0.452 0.000
0.055 0.911 0.500
0.555 0.589 0.500
0.441 0.933 0.500
0.445 0.411 0.500
0.941 0.567 0.500
0.945 0.089 0.500
0.559 0.067 0.500
0.059 0.433 0.500
```

Calculated values
Symmetry = Pbam
Theoretical density = 7.1 g/cm³
DFT total energy = -11.7 eV/f.u.
ΔE to the lowest computed polymorph = 0.70 eV per formula unit

Copy entry 2 word for word.
# SrCd2Te2F2

Crystalline SrCd2Te2F2 at its relaxed geometry (PBE-GGA, OQMD via LeMat-Bulk).

```
SrCd2Te2F2
1.0
-0.653 -4.008 0.299
0.537 -0.387 -4.017
9.957 -1.511 1.477
Te F Sr Cd
2 2 1 2
Direct
0.000 0.500 0.766
0.500 0.000 0.234
0.000 0.000 0.500
0.500 0.500 0.500
0.000 0.000 0.000
0.500 0.000 0.630
0.000 0.500 0.370
```

Calculated values
Symmetry = P-4m2
Theoretical density = 6.0 g/cm³
DFT total energy = -22.3 eV/f.u.

Among the records above, which one has the highest theoretical density?
number 6

What is the DFT total energy in the sixth record?
-12.3 eV/f.u.